## P
P2WO2 PBE+U relaxed; mass density = 7.20 g/cm3; magnetic moment = 3.29 μB/cell; N(E_F) = 1.19 states/eV/cell
1.0
3.665 0.000 0.000
0.000 3.665 0.000
0.000 0.000 4.768
P O W
2 2 1
Direct
0.000 0.000 0.000
0.000 0.000 0.500
0.000 0.500 0.000
0.500 0.000 0.000
0.500 0.500 0.500


## Q
P2WO2 PBE+U relaxed; mass density = 5.82 g/cm3; magnetic moment = 2.05 μB/cell; N(E_F) = 1.47 states/eV/cell
1.0
3.813 0.000 0.000
0.000 3.813 0.000
0.000 0.000 5.456
P O W
2 2 1
Direct
0.500 0.500 0.500
0.000 0.000 0.500
0.000 0.500 0.000
0.500 0.000 0.000
0.000 0.000 0.000


Order from most stable to least stable according to the calculation: Q, P


## P
P2WO7 PBE+U relaxed; mass density = 3.99 g/cm3; magnetic moment = 8.00 μB/cell; N(E_F) = 0.00 states/eV/cell
1.0
8.411 0.000 0.000
0.000 8.411 0.000
0.000 0.000 8.411
P W O
8 4 28
Direct
0.391 0.391 0.391
0.109 0.609 0.891
0.891 0.109 0.609
0.609 0.891 0.109
0.609 0.609 0.609
0.891 0.391 0.109
0.109 0.891 0.391
0.391 0.109 0.891
0.000 0.000 0.000
0.500 0.000 0.500
0.500 0.500 0.000
0.000 0.500 0.500
0.500 0.500 0.500
0.000 0.500 0.000
0.000 0.000 0.500
0.500 0.000 0.000
0.220 0.088 0.945
0.945 0.220 0.088
0.088 0.945 0.220
0.412 0.055 0.720
0.445 0.280 0.912
0.912 0.445 0.280
0.555 0.780 0.588
0.055 0.720 0.412
0.588 0.555 0.780
0.720 0.412 0.055
0.780 0.588 0.555
0.280 0.912 0.445
0.780 0.912 0.055
0.055 0.780 0.912
0.912 0.055 0.780
0.588 0.945 0.280
0.555 0.720 0.088
0.088 0.555 0.720
0.445 0.220 0.412
0.945 0.280 0.588
0.412 0.445 0.220
0.280 0.588 0.945
0.220 0.412 0.445
0.720 0.088 0.555


## Q
P2WO7 PBE+U relaxed; mass density = 4.08 g/cm3; magnetic moment = 4.00 μB/cell; N(E_F) = 0.00 states/eV/cell
1.0
-5.475 -6.109 2.298
3.832 -3.106 0.874
1.799 0.948 6.806
P W O
4 2 14
Direct
0.979 0.245 0.887
0.053 0.618 0.502
0.553 0.382 0.498
0.479 0.755 0.113
0.743 0.783 0.729
0.243 0.217 0.271
0.919 0.003 0.815
0.582 0.856 0.935
0.842 0.434 0.913
0.095 0.427 0.719
0.572 0.559 0.642
0.884 0.715 0.503
0.172 0.855 0.465
0.672 0.145 0.535
0.384 0.285 0.497
0.072 0.441 0.358
0.595 0.573 0.281
0.342 0.566 0.087
0.082 0.144 0.065
0.419 0.997 0.185


Order from most stable to least stable according to the calculation: Q, P


## P
P2W2O11 PBE+U relaxed; mass density = 5.05 g/cm3; magnetic moment = 0.00 μB/cell; N(E_F) = 0.00 states/eV/cell
1.0
-1.482 -5.055 3.690
3.202 -4.780 -5.262
7.013 0.637 3.690
P W O
4 4 22
Direct
0.500 0.383 0.747
0.000 0.883 0.753
0.000 0.117 0.247
0.500 0.617 0.253
0.500 0.185 0.157
0.500 0.815 0.843
0.000 0.685 0.343
0.000 0.315 0.657
0.310 0.312 0.648
0.810 0.188 0.148
0.310 0.688 0.352
0.500 0.670 0.071
0.500 0.933 0.659
0.810 0.812 0.852
0.690 0.312 0.648
0.000 0.170 0.429
0.000 0.830 0.571
0.500 0.583 0.732
0.690 0.688 0.352
0.500 0.067 0.341
0.190 0.188 0.148
0.000 0.433 0.841
0.500 0.417 0.268
0.000 0.083 0.768
0.000 0.567 0.159
0.500 0.330 0.929
0.000 0.917 0.232
0.000 0.500 0.500
0.190 0.812 0.852
0.500 0.000 0.000


## Q
P2W2O11 PBE+U relaxed; mass density = 4.79 g/cm3; magnetic moment = 0.00 μB/cell; N(E_F) = 0.00 states/eV/cell
1.0
6.366 0.000 0.000
0.000 8.170 0.000
0.000 0.000 16.134
P W O
8 8 44
Direct
0.750 0.590 0.585
0.250 0.410 0.415
0.250 0.090 0.915
0.750 0.910 0.085
0.750 0.997 0.756
0.250 0.003 0.244
0.250 0.497 0.744
0.750 0.503 0.256
0.250 0.729 0.563
0.750 0.271 0.437
0.750 0.229 0.937
0.250 0.771 0.063
0.250 0.090 0.700
0.750 0.910 0.300
0.750 0.590 0.800
0.250 0.410 0.200
0.250 0.546 0.481
0.750 0.454 0.519
0.750 0.046 0.019
0.250 0.954 0.981
0.250 0.535 0.652
0.750 0.465 0.348
0.750 0.035 0.848
0.250 0.965 0.152
0.443 0.297 0.431
0.943 0.703 0.569
0.557 0.797 0.069
0.057 0.203 0.931
0.557 0.703 0.569
0.057 0.297 0.431
0.250 0.311 0.760
0.443 0.203 0.931
0.250 0.631 0.160
0.750 0.369 0.840
0.750 0.131 0.340
0.250 0.869 0.660
0.250 0.311 0.105
0.750 0.689 0.895
0.750 0.811 0.395
0.250 0.189 0.605
0.250 0.613 0.991
0.750 0.387 0.009
0.750 0.113 0.509
0.250 0.887 0.491
0.942 0.424 0.211
0.442 0.576 0.789
0.058 0.924 0.289
0.558 0.076 0.711
0.058 0.576 0.789
0.558 0.424 0.211
0.942 0.076 0.711
0.442 0.924 0.289
0.250 0.484 0.329
0.750 0.516 0.671
0.750 0.984 0.171
0.250 0.016 0.829
0.250 0.189 0.260
0.750 0.811 0.740
0.750 0.689 0.240
0.943 0.797 0.069


Order from most stable to least stable according to the calculation: Q, P


## P
ZrP2WO PBE+U relaxed; mass density = 5.69 g/cm3; magnetic moment = 2.56 μB/cell; N(E_F) = 2.67 states/eV/cell
1.0
5.097 0.000 0.000
0.000 5.097 0.000
0.000 0.000 3.967
O P Zr W
1 2 1 1
Direct
0.000 0.000 0.500
0.000 0.500 0.000
0.500 0.000 0.000
0.000 0.000 0.000
0.500 0.500 0.500


## Q
ZrP2WO PBE+U relaxed; mass density = 6.45 g/cm3; magnetic moment = 0.90 μB/cell; N(E_F) = 2.05 states/eV/cell
1.0
-4.737 1.305 -0.226
-0.486 -0.933 4.805
0.942 3.553 0.785
O P Zr W
1 2 1 1
Direct
0.000 0.000 0.500
0.000 0.500 0.000
0.500 0.000 0.000
0.500 0.500 0.500
0.000 0.000 0.000


Order from most stable to least stable according to the calculation: Q, P